1.
{
  "formula": "RbTiAsBr2",
  "functional": "PBE-GGA",
  "state": "optimized geometry",
  "e_above_lowest_polymorph_mev_per_atom": 1559.3,
  "m_tot_mub_per_cell": 0.00,
  "e_form_raw_mev_per_atom": 691,
  "dft_energy_ev_per_atom": -2.6808,
  "cell": [[6.143, 0.000, 0.000], [0.000, 6.143, 0.000], [0.000, 0.000, 6.234]],
  "species": ["As", "Br", "Br", "Rb", "Ti"],
  "frac_coords": [[0.000, 0.000, 0.500], [0.000, 0.500, 0.000], [0.500, 0.000, 0.000], [0.000, 0.000, 0.000], [0.500, 0.500, 0.500]]
}

***

2.
{
  "formula": "CrOs4Ru",
  "functional": "PBE-GGA",
  "state": "optimized geometry",
  "e_above_lowest_polymorph_mev_per_atom": 106.2,
  "e_form_mev_per_atom": 288,
  "m_tot_mub_per_cell": 0.00,
  "dft_energy_ev_per_atom": -10.3485,
  "cell": [[7.427, 0.141, 0.000], [-0.102, 5.389, 0.000], [0.000, 0.000, 4.312]],
  "species": ["Cr", "Cr", "Os", "Os", "Os", "Os", "Os", "Os", "Os", "Os", "Ru", "Ru"],
  "frac_coords": [[0.000, 0.250, 0.501], [0.000, 0.750, 0.499], [0.164, 0.500, 0.000], [0.329, 0.500, 0.500], [0.836, 0.000, 0.000], [0.671, 0.500, 0.500], [0.671, 0.000, 0.500], [0.164, 0.000, 0.000], [0.329, 0.000, 0.500], [0.836, 0.500, 0.000], [0.500, 0.250, 0.000], [0.500, 0.750, 0.000]]
}

***

3.
{
  "formula": "Ag4PbCl7",
  "functional": "PBE-GGA",
  "state": "optimized geometry",
  "m_tot_mub_per_cell": 0.00,
  "e_form_raw_mev_per_atom": -573,
  "dft_energy_ev_per_atom": -2.9092,
  "cell": [[3.916, 0.000, 0.000], [-1.958, 6.077, -1.984], [0.000, -0.218, 13.226]],
  "species": ["Ag", "Ag", "Ag", "Ag", "Pb", "Cl", "Cl", "Cl", "Cl", "Cl", "Cl", "Cl"],
  "frac_coords": [[0.701, 0.402, 0.864], [0.306, 0.612, 0.145], [0.004, 0.007, 0.007], [0.101, 0.201, 0.402], [0.891, 0.782, 0.579], [0.725, 0.451, 0.377], [0.265, 0.529, 0.636], [0.353, 0.706, 0.934], [0.655, 0.310, 0.076], [0.061, 0.122, 0.808], [0.943, 0.887, 0.200], [0.495, 0.991, 0.473]]
}

***

4.
{
  "formula": "Y7Tc2Te2",
  "functional": "PBE-GGA",
  "state": "optimized geometry",
  "m_tot_mub_per_cell": 0.71,
  "e_form_raw_mev_per_atom": -543,
  "dft_energy_ev_per_atom": -7.1123,
  "cell": [[0.146, 3.878, 1.051], [-4.295, -0.025, 8.379], [5.057, -0.257, 7.938]],
  "species": ["Y", "Y", "Y", "Y", "Y", "Y", "Y", "Tc", "Tc", "Te", "Te"],
  "frac_coords": [[0.817, 0.080, 0.287], [0.849, 0.417, 0.885], [0.500, 0.023, 0.977], [0.632, 0.473, 0.262], [0.368, 0.738, 0.527], [0.183, 0.713, 0.920], [0.151, 0.115, 0.583], [0.738, 0.851, 0.674], [0.262, 0.326, 0.149], [0.000, 0.761, 0.239], [0.500, 0.356, 0.644]]
}

***

5.
{
  "formula": "YIr3",
  "functional": "PBE-GGA",
  "state": "optimized geometry",
  "e_form_mev_per_atom": 151,
  "m_tot_mub_per_cell": 0.00,
  "dft_energy_ev_per_atom": -8.1109,
  "cell": [[5.209, 0.000, 0.000], [0.000, 5.209, 0.000], [0.000, 0.000, 5.209]],
  "species": ["Y", "Y", "Ir", "Ir", "Ir", "Ir", "Ir", "Ir"],
  "frac_coords": [[0.000, 0.000, 0.000], [0.500, 0.500, 0.500], [0.000, 0.250, 0.500], [0.000, 0.750, 0.500], [0.250, 0.500, 0.000], [0.500, 0.000, 0.250], [0.500, 0.000, 0.750], [0.750, 0.500, 0.000]]
}

***

6.
{
  "formula": "LaRh2Pb",
  "functional": "PBE-GGA",
  "state": "optimized geometry",
  "e_form_mev_per_atom": -456,
  "m_tot_mub_per_cell": 0.00,
  "dft_energy_ev_per_atom": -6.2908,
  "cell": [[-1.353, 1.430, 4.242], [-0.750, -4.450, 1.261], [3.591, -0.257, 1.232]],
  "species": ["Pb", "Rh", "Rh", "La"],
  "frac_coords": [[0.000, 0.500, 0.500], [0.000, 0.000, 0.000], [0.500, 0.500, 0.000], [0.500, 0.000, 0.500]]
}

***

7.
{
  "formula": "Tl2InPdI",
  "functional": "PBE-GGA",
  "state": "optimized geometry",
  "m_tot_mub_per_cell": 0.00,
  "e_form_raw_mev_per_atom": -322,
  "dft_energy_ev_per_atom": -3.1643,
  "cell": [[-1.540, 4.168, 3.165], [-0.972, -3.470, 4.096], [5.004, 0.576, 1.675]],
  "species": ["I", "Tl", "Tl", "Pd", "In"],
  "frac_coords": [[0.500, 0.500, 0.500], [0.000, 0.500, 0.000], [0.500, 0.000, 0.000], [0.000, 0.000, 0.000], [0.000, 0.000, 0.500]]
}

***

8.
{
  "formula": "ZrZnN2",
  "functional": "PBE-GGA",
  "state": "optimized geometry",
  "m_tot_mub_per_cell": 0.00,
  "e_form_raw_mev_per_atom": -643,
  "dft_energy_ev_per_atom": -7.2610,
  "cell": [[3.276, 0.000, -0.867], [0.000, 5.690, 0.000], [-0.253, 0.000, 5.702]],
  "species": ["Zr", "Zr", "Zn", "Zn", "N", "N", "N", "N"],
  "frac_coords": [[0.079, 0.500, 0.424], [0.644, 0.000, 0.554], [0.346, 0.500, 0.960], [0.377, 0.000, 0.019], [0.221, 0.769, 0.707], [0.221, 0.231, 0.707], [0.502, 0.269, 0.272], [0.502, 0.731, 0.272]]
}

***

9.
{
  "formula": "CeNbB4",
  "functional": "PBE-GGA",
  "state": "optimized geometry",
  "e_form_mev_per_atom": -603,
  "m_tot_mub_per_cell": 0.00,
  "dft_energy_ev_per_atom": -7.7223,
  "cell": [[-2.795, 2.464, -0.442], [-1.310, -0.412, 5.983], [7.515, 8.929, 2.261]],
  "species": ["Ce", "Ce", "Ce", "Ce", "Nb", "Nb", "Nb", "Nb", "B", "B", "B", "B", "B", "B", "B", "B", "B", "B", "B", "B", "B", "B", "B", "B"],
  "frac_coords": [[0.000, 0.627, 0.350], [0.000, 0.373, 0.650], [0.000, 0.127, 0.150], [0.000, 0.873, 0.850], [0.000, 0.633, 0.086], [0.000, 0.367, 0.914], [0.000, 0.133, 0.414], [0.000, 0.867, 0.586], [0.500, 0.790, 0.187], [0.500, 0.210, 0.813], [0.500, 0.290, 0.313], [0.500, 0.710, 0.687], [0.500, 0.867, 0.032], [0.500, 0.133, 0.968], [0.500, 0.367, 0.468], [0.500, 0.633, 0.532], [0.500, 0.886, 0.453], [0.500, 0.114, 0.547], [0.500, 0.386, 0.047], [0.500, 0.614, 0.953], [0.500, 0.975, 0.307], [0.500, 0.025, 0.693], [0.500, 0.475, 0.193], [0.500, 0.525, 0.807]]
}

***

10.
{
  "formula": "MnInP2S",
  "functional": "PBE-GGA",
  "state": "optimized geometry",
  "e_above_lowest_polymorph_mev_per_atom": 0.0,
  "m_tot_mub_per_cell": 0.03,
  "e_form_raw_mev_per_atom": 215,
  "dft_energy_ev_per_atom": -5.1559,
  "cell": [[-1.352, 3.340, -2.231], [-2.723, -2.493, -2.081], [-3.726, 0.971, 3.712]],
  "species": ["P", "P", "S", "Mn", "In"],
  "frac_coords": [[0.000, 0.500, 0.000], [0.500, 0.000, 0.000], [0.000, 0.000, 0.500], [0.000, 0.000, 0.000], [0.500, 0.500, 0.500]]
}

***

11.
{
  "formula": "Li2CdP",
  "functional": "PBE-GGA",
  "state": "optimized geometry",
  "e_form_mev_per_atom": -187,
  "m_tot_mub_per_cell": 0.00,
  "dft_energy_ev_per_atom": -2.7254,
  "cell": [[3.396, 0.000, 0.000], [0.000, 3.396, 0.000], [0.000, 0.000, 5.864]],
  "species": ["Cd", "Li", "Li", "P"],
  "frac_coords": [[0.500, 0.500, 0.752], [0.000, 0.000, 0.014], [0.500, 0.500, 0.273], [0.000, 0.000, 0.462]]
}

***

12.
{
  "formula": "SiHg",
  "functional": "PBE-GGA",
  "state": "optimized geometry",
  "e_above_lowest_polymorph_mev_per_atom": 118.3,
  "m_tot_mub_per_cell": 0.00,
  "e_form_raw_mev_per_atom": 264,
  "dft_energy_ev_per_atom": -2.5987,
  "cell": [[-8.346, -1.535, 0.263], [8.330, -1.606, 0.327], [-0.010, 0.637, 3.390]],
  "species": ["Hg", "Hg", "Si", "Si"],
  "frac_coords": [[0.928, 0.072, 0.750], [0.072, 0.928, 0.250], [0.773, 0.227, 0.750], [0.227, 0.773, 0.250]]
}